# 1
DFT (PBE) results for NaLi8Ca3 after structural relaxation.

Geometry as POSCAR:
```
NaLi8Ca3
1.0
3.074 1.775 9.987
-3.074 1.775 9.987
0.000 -3.550 9.987
Na Li Ca
1 8 3
Cartesian
0.000 0.000 0.000
0.000 -1.765 6.881
-1.528 0.882 6.881
-1.530 -0.883 11.913
0.000 0.000 9.399
1.528 0.882 6.881
1.530 -0.883 11.913
0.000 1.767 11.913
0.000 0.000 24.375
0.000 0.000 3.719
0.000 0.000 15.031
0.000 0.000 18.808
```

Properties
As for the space group: No. 160. The calculation puts the total magnetization at 0.00 μB per formula unit. As for the crystal system: trigonal. The value obtained for the total DFT energy (no corrections) is -1.8775 eV/atom.

---

# 2
DFT (PBE) results for NaLi2Ca6 after structural relaxation.

Geometry as POSCAR:
```
NaLi2Ca6
1.0
8.545 -1.871 0.000
8.545 1.871 0.000
-6.035 0.000 10.564
Na Li Ca
1 2 6
Cartesian
0.000 0.000 0.000
1.857 0.000 7.845
9.197 0.000 2.719
-3.535 0.000 7.608
3.155 0.000 1.146
2.990 0.000 4.751
8.065 0.000 5.813
7.900 0.000 9.418
14.589 0.000 2.955
```

Properties
As for the space group: No. 12. As for the distance to the lowest polymorph of the same formula: 4.3 kJ/mol of atoms. The calculation puts the total magnetization at 0.00 μB per formula unit. As for the crystal system: monoclinic. The value obtained for the total DFT energy (no corrections) is -1.8154 eV/atom.

---

Taking the records one at a time from the top gives DFT formation energy values of 10, 79 kJ/mol of formula units.